# YC2

A relaxed YC2 crystal (PBE, the Alexandria database).

a = 4.0093 Å, b = 4.0093 Å, c = 4.0093 Å
α = 60.00°, β = 60.00°, γ = 60.00°
Last column: nearest neighbours and their distance in Å.
Fractional positions:
C (0.7500, 0.7500, 0.7500)  4 Y 2.46
C (0.2500, 0.2500, 0.2500)  4 Y 2.46
Y (0.0000, 0.0000, 0.0000)  8 C 2.46

Values from the calculation:
crystal system	cubic



# Y5C3

A relaxed Y5C3 crystal (PBE, the Alexandria database).

a = 3.1535 Å, b = 3.1535 Å, c = 15.4848 Å
α = 90.00°, β = 90.00°, γ = 90.00°
Last column: nearest neighbours and their distance in Å.
Fractional positions:
C (0.5000, 0.5000, 0.1087)  8 Y 2.58-2.79
C (0.5000, 0.5000, 0.8913)  8 Y 2.58-2.79
C (0.0000, 0.0000, 0.5000)  8 Y 2.63
Y (0.5000, 0.5000, 0.5901)  4 C 2.63, 1 Y 2.79
Y (0.0000, 0.0000, 0.0000)  8 C 2.79, 2 Y 2.99
Y (0.0000, 0.0000, 0.8069)  4 C 2.58
Y (0.0000, 0.0000, 0.1931)  4 C 2.58
Y (0.5000, 0.5000, 0.4099)  4 C 2.63, 1 Y 2.79

Values from the calculation:
crystal system	tetragonal



| no. | energy of formation (meV/atom) |
| --- | --- |
| 1 | 1717 |
| 2 | 327 |